ZnCoO2 | GGA+U | relaxed

Values from the calculation:
- Calculated density: 5.787 g cm⁻³
- DOS at the Fermi energy: 0.00 states/eV per cell
- Uncorrected energy: -78.40 eV for the cell shown

Geometry as CIF:
```
data_ZnCoO2
_chemical_formula_sum 'Zn4 Co4 O8'
_symmetry_space_group_name_H-M 'C m c m'
_symmetry_Int_Tables_number 63
_symmetry_space_group_name_Hall '-C 2c 2'
_cell_length_a 2.9853
_cell_length_b 15.4147
_cell_length_c 3.8993
_cell_angle_alpha 90.00
_cell_angle_beta 90.00
_cell_angle_gamma 90.00
loop_
_atom_site_label
_atom_site_fract_x
_atom_site_fract_y
_atom_site_fract_z
_atom_site_occupancy
Zn1 0.0000 0.0670 0.2500 1
Co1 0.0000 0.3202 0.2500 1
O1 0.0000 0.0689 0.7500 1
O2 0.0000 0.1939 0.2500 1
```